[1]
Crystalline SrTlGeS2 at its relaxed geometry. Source: the Alexandria database, functional PBE.

Calculated values
VASP energy = -3.17 eV/atom
Formation energy from raw total energies = 211 meV/atom

Cell: 5.585 5.770 5.585 Å, 90.00 90.00 90.00°
Last column: magnetic moment on the atom in μB.
Fractional positions:
Sr  0.000  0.000  0.000  0.02
S  0.000  0.000  0.500  -0.16
S  0.500  0.000  0.000  -0.14
Ge  0.000  0.500  0.000  0.26
Tl  0.500  0.500  0.500  0.02

---

[2]
Crystalline Sr2TmGeS5 at its relaxed geometry. Source: the Alexandria database, functional PBE.

Calculated values
VASP energy = -5.28 eV/atom
Formation energy from raw total energies = -1601 meV/atom

Cell: 4.180 8.986 12.114 Å, 90.00 90.00 103.45°
Fractional positions:
S  0.317  0.633  0.374
S  0.045  0.091  0.029
S  0.501  0.001  0.273
S  0.499  0.999  0.773
S  0.356  0.711  0.006
S  0.955  0.909  0.529
S  0.644  0.289  0.506
S  0.294  0.589  0.669
S  0.683  0.367  0.874
S  0.706  0.411  0.169
Sr  0.883  0.765  0.182
Sr  0.117  0.235  0.682
Sr  0.125  0.251  0.324
Sr  0.875  0.749  0.824
Ge  0.555  0.110  0.942
Ge  0.445  0.890  0.442
Tm  0.208  0.416  0.026
Tm  0.792  0.584  0.526

---

[3]
Crystalline Sr2ZrGeS5 at its relaxed geometry. Source: the Alexandria database, functional PBE.

Calculated values
VASP energy = -5.59 eV/atom
Formation energy from raw total energies = -1460 meV/atom

Cell: 3.983 8.715 13.286 Å, 90.00 90.00 103.21°
Fractional positions:
S  0.369  0.739  0.987
S  0.303  0.606  0.407
S  0.077  0.155  0.063
S  0.697  0.394  0.907
S  0.631  0.261  0.487
S  0.502  0.003  0.266
S  0.498  0.997  0.766
S  0.923  0.845  0.563
S  0.263  0.526  0.668
S  0.737  0.474  0.168
Sr  0.133  0.266  0.305
Sr  0.867  0.734  0.805
Sr  0.088  0.175  0.650
Sr  0.912  0.825  0.150
Ge  0.554  0.109  0.943
Ge  0.446  0.891  0.443
Zr  0.223  0.445  0.034
Zr  0.777  0.555  0.534

---

[4]
Crystalline TaGeS2 at its relaxed geometry. Source: the Alexandria database, functional PBE.

Calculated values
VASP energy = -6.80 eV/atom
Formation energy from raw total energies = -616 meV/atom

Cell: 8.801 8.801 8.801 Å, 21.41 21.41 21.41°
Fractional positions:
Ta  0.500  0.500  0.500
Ge  0.000  0.000  0.000
S  0.104  0.104  0.104
S  0.896  0.896  0.896

---

[5]
Crystalline TaGe3S at its relaxed geometry. Source: the Alexandria database, functional PBE.

Calculated values
VASP energy = -4.96 eV/atom
Formation energy from raw total energies = 1005 meV/atom

Cell: 4.661 4.661 4.661 Å, 90.00 90.00 90.00°
Fractional positions:
Ge  0.000  0.500  0.000
Ge  0.000  0.000  0.500
Ge  0.500  0.000  0.000
Ta  0.500  0.500  0.500
S  0.000  0.000  0.000

---

[6]
Crystalline Ta2Ge2S7 at its relaxed geometry. Source: the Alexandria database, functional PBE.

Calculated values
VASP energy = -6.15 eV/atom
Formation energy from raw total energies = -532 meV/atom

Cell: 8.427 6.213 6.213 Å, 115.57 93.80 93.80°
Fractional positions:
S  0.500  0.000  0.000
S  0.183  0.640  0.640
S  0.835  0.597  0.959
S  0.817  0.360  0.360
S  0.165  0.041  0.403
S  0.835  0.959  0.597
S  0.165  0.403  0.041
Ge  0.641  0.726  0.726
Ge  0.359  0.274  0.274
Ta  0.000  0.658  0.342
Ta  0.000  0.342  0.658

---

[7]
Crystalline Ta2GeS at its relaxed geometry. Source: the Alexandria database, functional PBE.

Calculated values
VASP energy = -8.33 eV/atom
Formation energy from raw total energies = -213 meV/atom

Cell: 4.479 4.479 4.479 Å, 60.00 60.00 60.00°
Fractional positions:
S  0.000  0.000  0.000
Ta  0.750  0.750  0.750
Ta  0.250  0.250  0.250
Ge  0.500  0.500  0.500

---

[8]
Crystalline Ta2GeS at its relaxed geometry. Source: the Alexandria database, functional PBE.

Calculated values
VASP energy = -7.72 eV/atom
Formation energy from raw total energies = 388 meV/atom

Cell: 4.754 4.754 8.151 Å, 73.04 73.04 90.00°
Fractional positions:
Ta  0.375  0.426  0.750
Ta  0.176  0.625  0.250
Ta  0.875  0.824  0.750
Ta  0.574  0.125  0.250
S  0.250  0.750  0.500
S  0.500  0.500  0.000
Ge  0.750  0.250  0.500
Ge  0.000  0.000  0.000

---

[9]
Crystalline TaGe3S at its relaxed geometry. Source: the Alexandria database, functional PBE.

Calculated values
VASP energy = -5.24 eV/atom
Formation energy from raw total energies = 725 meV/atom

Cell: 5.044 5.044 5.044 Å, 90.00 90.00 90.00°
Last column: magnetic moment on the atom in μB.
Fractional positions:
S  0.500  0.500  0.500  0.66
Ge  0.500  0.000  0.000  0.04
Ge  0.000  0.500  0.000  0.04
Ge  0.000  0.000  0.500  0.02
Ta  0.000  0.000  0.000  0.43

---

[10]
Crystalline TaGeS2 at its relaxed geometry. Source: the Alexandria database, functional PBE.

Calculated values
VASP energy = -6.13 eV/atom
Formation energy from raw total energies = 49 meV/atom

Cell: 6.090 6.090 6.707 Å, 63.00 63.00 90.00°
Last column: magnetic moment on the atom in μB.
Fractional positions:
Ta  0.000  0.000  0.000  0.59
Ta  0.750  0.250  0.500  0.60
S  0.375  0.333  0.750  -0.02
S  0.667  0.125  0.250  -0.02
S  0.083  0.625  0.250  -0.02
S  0.875  0.917  0.750  -0.02
Ge  0.500  0.500  0.000  0.06
Ge  0.250  0.750  0.500  0.07

---

[11]
Crystalline TaGeS4 at its relaxed geometry. Source: the Alexandria database, functional PBE.

Calculated values
VASP energy = -6.02 eV/atom
Formation energy from raw total energies = -522 meV/atom

Cell: 6.235 6.217 11.113 Å, 90.00 90.00 90.00°
Fractional positions:
Ge  0.000  0.000  0.500
Ge  0.000  0.500  0.000
S  0.255  0.803  0.390
S  0.804  0.754  0.110
S  0.745  0.803  0.610
S  0.255  0.197  0.610
S  0.804  0.246  0.890
S  0.196  0.754  0.890
S  0.196  0.246  0.110
S  0.745  0.197  0.390
Ta  0.000  0.000  0.000
Ta  0.500  0.000  0.500

---

[12]
Crystalline TaGeS2 at its relaxed geometry. Source: the Alexandria database, functional PBE.

Calculated values
VASP energy = -6.06 eV/atom
Formation energy from raw total energies = 120 meV/atom

Cell: 8.055 8.055 8.055 Å, 24.22 24.22 24.22°
Fractional positions:
S  0.101  0.101  0.101
S  0.899  0.899  0.899
Ta  0.000  0.000  0.000
Ge  0.500  0.500  0.500

---

[13]
Crystalline Tb6GeS12 at its relaxed geometry. Source: the Alexandria database, functional PBE.

Calculated values
VASP energy = -5.88 eV/atom
Formation energy from raw total energies = -1563 meV/atom

Cell: 7.756 7.756 7.756 Å, 98.82 98.82 98.82°
Fractional positions:
Tb  0.631  0.300  0.133
Tb  0.369  0.700  0.867
Tb  0.300  0.133  0.631
Tb  0.133  0.631  0.300
Tb  0.700  0.867  0.369
Tb  0.867  0.369  0.700
S  0.053  0.973  0.314
S  0.438  0.580  0.181
S  0.420  0.819  0.562
S  0.819  0.562  0.420
S  0.181  0.438  0.580
S  0.947  0.027  0.686
S  0.314  0.053  0.973
S  0.027  0.686  0.947
S  0.686  0.947  0.027
S  0.562  0.420  0.819
S  0.580  0.181  0.438
S  0.973  0.314  0.053
Ge  0.000  0.000  0.000

---

[14]
Crystalline Tb8GeS5 at its relaxed geometry. Source: the Alexandria database, functional PBE.

Calculated values
VASP energy = -5.92 eV/atom
Formation energy from raw total energies = -1469 meV/atom

Cell: 7.656 7.656 7.656 Å, 103.75 103.75 121.65°
Fractional positions:
Tb  0.691  0.356  0.250
Tb  0.106  0.441  0.750
Tb  0.559  0.309  0.665
Tb  0.644  0.894  0.335
Tb  0.067  0.814  0.166
Tb  0.186  0.353  0.253
Tb  0.647  0.900  0.834
Tb  0.100  0.933  0.747
S  0.875  0.357  0.979
S  0.103  0.125  0.481
S  0.378  0.897  0.021
S  0.500  0.500  0.000
S  0.643  0.622  0.519
Ge  0.250  0.750  0.500

---

[15]
Crystalline Tb5GeS5 at its relaxed geometry. Source: the Alexandria database, functional PBE.

Calculated values
VASP energy = -6.28 eV/atom
Formation energy from raw total energies = -1875 meV/atom

Cell: 5.611 6.904 7.976 Å, 106.71 90.00 113.98°
Fractional positions:
S  0.673  0.345  0.842
S  0.000  0.000  0.500
S  0.330  0.660  0.667
S  0.327  0.655  0.158
S  0.670  0.340  0.333
Ge  0.000  0.000  0.000
Tb  0.500  0.000  0.000
Tb  0.834  0.669  0.663
Tb  0.839  0.677  0.176
Tb  0.161  0.323  0.824
Tb  0.166  0.331  0.337

---

[16]
Crystalline Tb4GeS2 at its relaxed geometry. Source: the Alexandria database, functional PBE.

Calculated values
VASP energy = -5.76 eV/atom
Formation energy from raw total energies = -1280 meV/atom

Cell: 4.113 7.061 11.879 Å, 90.00 90.00 90.00°
Fractional positions:
Tb  0.000  0.617  0.782
Tb  0.000  0.117  0.718
Tb  0.500  0.739  0.547
Tb  0.500  0.261  0.453
Tb  0.500  0.761  0.047
Tb  0.000  0.383  0.218
Tb  0.500  0.239  0.953
Tb  0.000  0.883  0.282
S  0.500  0.894  0.812
S  0.500  0.106  0.188
S  0.500  0.394  0.688
S  0.500  0.606  0.312
Ge  0.000  0.000  0.500
Ge  0.000  0.500  0.000

---

[17]
Crystalline TbGeS2 at its relaxed geometry. Source: the Alexandria database, functional PBE.

Calculated values
VASP energy = -4.83 eV/atom
Formation energy from raw total energies = -459 meV/atom

Cell: 3.711 3.711 8.422 Å, 77.27 77.27 60.00°
Fractional positions:
Ge  0.500  0.500  0.500
S  0.892  0.892  0.323
S  0.108  0.108  0.677
Tb  0.000  0.000  0.000

---

[18]
Crystalline Tb2GeS at its relaxed geometry. Source: the Alexandria database, functional PBE.

Calculated values
VASP energy = -5.96 eV/atom
Formation energy from raw total energies = -1461 meV/atom

Cell: 4.059 4.059 7.069 Å, 90.00 106.69 120.00°
Fractional positions:
Ge  0.000  0.500  0.500
Tb  0.500  0.750  0.250
Tb  0.500  0.250  0.750
S  0.000  0.000  0.000

---

[19]
Crystalline Tb8Ge5S at its relaxed geometry. Source: the Alexandria database, functional PBE.

Calculated values
VASP energy = -5.56 eV/atom
Formation energy from raw total energies = -966 meV/atom

Cell: 7.631 7.631 7.631 Å, 109.77 108.87 109.77°
Fractional positions:
Ge  0.371  0.124  0.997
Ge  0.873  0.876  0.247
Ge  0.003  0.374  0.127
Ge  0.753  0.626  0.629
Ge  0.500  0.000  0.500
Tb  0.616  0.877  0.871
Tb  0.752  0.245  0.366
Tb  0.260  0.255  0.384
Tb  0.129  0.745  0.006
Tb  0.994  0.123  0.740
Tb  0.493  0.615  0.248
Tb  0.634  0.385  0.879
Tb  0.121  0.755  0.507
S  0.250  0.500  0.750

---

[20]
Crystalline TbGeS at its relaxed geometry. Source: the Alexandria database, functional PBE.

Calculated values
VASP energy = -5.62 eV/atom
Formation energy from raw total energies = -1162 meV/atom

Cell: 4.306 4.306 9.243 Å, 76.53 76.53 60.00°
Fractional positions:
Ge  0.149  0.149  0.553
Ge  0.851  0.851  0.447
S  0.705  0.705  0.886
S  0.295  0.295  0.114
Tb  0.406  0.406  0.783
Tb  0.594  0.594  0.217